(1)
# TiV5W4

A relaxed structure of TiV5W4 (PBE-GGA, the Alexandria database).

POSCAR file:
```
TiV5W4
1.0
3.090 0.000 0.000
0.000 3.090 0.000
0.000 0.000 15.514
W V Ti
4 5 1
direct
0.000 0.000 0.201
0.000 0.000 0.799
0.000 0.000 0.599
0.000 0.000 0.401
0.500 0.500 0.106
0.500 0.500 0.698
0.500 0.500 0.302
0.500 0.500 0.500
0.500 0.500 0.894
0.000 0.000 0.000
```

(2)
# TiV3W2

A relaxed structure of TiV3W2 (PBE-GGA, the Alexandria database).

POSCAR file:
```
TiV3W2
1.0
0.831 -4.282 -0.445
2.619 -0.123 6.085
-6.342 0.760 2.435
V Ti W
6 2 4
direct
0.922 0.127 0.844
0.307 0.032 0.614
0.382 0.414 0.763
0.693 0.968 0.386
0.078 0.873 0.156
0.618 0.586 0.237
0.859 0.710 0.718
0.141 0.290 0.282
0.466 0.808 0.932
0.534 0.192 0.068
0.235 0.663 0.470
0.765 0.337 0.530
```

Results
energy above the most stable polymorph in this dataset: 0.1915 eV per atom

(3)
# TiV6W6

A relaxed structure of TiV6W6 (PBE-GGA, the Alexandria database).

POSCAR file:
```
TiV6W6
1.0
5.041 0.000 0.000
-2.520 4.366 0.000
0.000 0.000 9.141
V W Ti
6 6 1
direct
0.500 0.000 0.763
0.000 0.500 0.237
0.500 0.500 0.237
0.500 0.000 0.237
0.000 0.500 0.763
0.500 0.500 0.763
0.333 0.667 0.500
0.333 0.667 0.000
0.000 0.000 0.636
0.667 0.333 0.000
0.667 0.333 0.500
0.000 0.000 0.364
0.000 0.000 0.000
```

(4)
# Ti2V3W2

A relaxed structure of Ti2V3W2 (PBE-GGA, the Alexandria database).

POSCAR file:
```
Ti2V3W2
1.0
-4.177 1.354 0.334
1.241 -3.797 1.881
1.983 5.150 3.919
Ti V W
2 3 2
direct
0.424 0.848 0.272
0.576 0.152 0.728
0.000 0.000 0.000
0.711 0.422 0.134
0.289 0.578 0.866
0.856 0.712 0.567
0.144 0.288 0.433
```

Results
energy above the most stable polymorph in this dataset: 0.0000 eV per atom

(5)
# TiV2W

A relaxed structure of TiV2W (PBE-GGA, the Alexandria database).

POSCAR file:
```
TiV2W
1.0
3.099 0.000 0.000
0.000 4.379 0.000
0.000 0.000 4.379
W V Ti
1 2 1
direct
0.500 0.500 0.500
0.000 0.500 0.000
0.000 0.000 0.500
0.500 0.000 0.000
```

Results
energy above the most stable polymorph in this dataset: 0.0109 eV per atom

(6)
# TiV4W5

A relaxed structure of TiV4W5 (PBE-GGA, the Alexandria database).

POSCAR file:
```
TiV4W5
1.0
3.093 0.000 0.000
0.000 3.093 0.000
0.000 0.000 15.627
V W Ti
4 5 1
direct
0.000 0.000 0.204
0.000 0.000 0.402
0.000 0.000 0.598
0.000 0.000 0.796
0.500 0.500 0.107
0.500 0.500 0.500
0.500 0.500 0.893
0.500 0.500 0.697
0.500 0.500 0.303
0.000 0.000 0.000
```

(7)
# TiV4W

A relaxed structure of TiV4W (PBE-GGA, the Alexandria database).

POSCAR file:
```
TiV4W
1.0
4.976 0.000 0.000
2.488 4.309 0.000
2.488 1.436 4.063
W V Ti
1 4 1
direct
0.250 0.250 0.250
0.124 0.625 0.625
0.625 0.625 0.124
0.625 0.625 0.625
0.625 0.124 0.625
0.000 0.000 0.000
```

(8)
# TiV2W

A relaxed structure of TiV2W (PBE-GGA, the Alexandria database).

POSCAR file:
```
TiV2W
1.0
4.640 -1.610 -2.948
-1.190 4.765 2.948
-3.265 0.106 4.705
V Ti W
2 1 1
direct
0.000 0.749 0.749
0.000 0.251 0.251
0.000 0.000 0.000
0.000 0.500 0.500
```

Results
energy above the most stable polymorph in this dataset: 0.6047 eV per atom

(9)
# TiV8W3

A relaxed structure of TiV8W3 (PBE-GGA, the Alexandria database).

POSCAR file:
```
TiV8W3
1.0
-3.772 3.199 0.646
0.603 -3.814 3.156
4.676 4.577 4.638
Ti V W
1 8 3
direct
0.000 0.000 0.562
0.333 0.667 0.000
0.503 0.006 0.751
0.333 0.667 0.500
0.673 0.836 0.249
0.503 0.497 0.751
0.164 0.327 0.249
0.164 0.836 0.249
0.994 0.497 0.751
0.667 0.333 0.061
0.667 0.333 0.438
0.000 0.000 0.940
```

(10)
# TiV6W3

A relaxed structure of TiV6W3 (PBE-GGA, the Alexandria database).

POSCAR file:
```
TiV6W3
1.0
4.335 0.000 0.000
0.000 6.912 -3.063
0.000 -1.053 10.202
V Ti W
12 2 6
direct
0.750 0.652 0.100
0.250 0.759 0.500
0.250 0.941 0.794
0.750 0.448 0.291
0.250 0.552 0.709
0.750 0.052 0.703
0.250 0.948 0.297
0.750 0.059 0.206
0.250 0.348 0.900
0.750 0.854 0.904
0.250 0.146 0.096
0.750 0.241 0.500
0.250 0.348 0.398
0.750 0.652 0.602
0.250 0.151 0.600
0.750 0.849 0.400
0.750 0.244 0.997
0.250 0.547 0.199
0.750 0.453 0.801
0.250 0.756 0.003
```

(11)
# TiVW6

A relaxed structure of TiVW6 (PBE-GGA, the Alexandria database).

POSCAR file:
```
TiVW6
1.0
4.438 -0.037 1.270
1.330 4.234 1.270
-0.363 -0.264 7.373
W V Ti
6 1 1
direct
0.062 0.553 0.296
0.938 0.447 0.704
0.553 0.062 0.296
0.641 0.641 0.073
0.447 0.938 0.704
0.359 0.359 0.927
0.000 0.000 0.000
0.500 0.500 0.500
```

Results
energy above the most stable polymorph in this dataset: 0.5573 eV per atom

(12)
# TiV6W2

A relaxed structure of TiV6W2 (PBE-GGA, the Alexandria database).

POSCAR file:
```
TiV6W2
1.0
6.410 0.803 0.465
0.890 4.937 -0.065
0.890 2.403 4.313
V W Ti
6 2 1
direct
0.697 0.690 0.208
0.532 0.247 0.247
0.468 0.753 0.753
0.697 0.208 0.690
0.303 0.310 0.792
0.303 0.792 0.310
0.094 0.321 0.321
0.906 0.679 0.679
0.000 0.000 0.000
```

(13)
# TiV4W2

A relaxed structure of TiV4W2 (PBE-GGA, the Alexandria database).

POSCAR file:
```
TiV4W2
1.0
6.711 0.332 -1.596
-3.507 5.727 -1.572
-0.137 -0.266 5.319
V Ti W
8 2 4
direct
0.237 0.412 0.069
0.384 0.132 0.362
0.518 0.841 0.644
0.366 0.118 0.852
0.945 0.985 0.505
0.651 0.545 0.923
0.798 0.265 0.215
0.093 0.696 0.783
0.953 0.980 0.003
0.089 0.703 0.286
0.229 0.409 0.566
0.805 0.268 0.722
0.518 0.841 0.142
0.665 0.556 0.429
```

(14)
# TiV14W

A relaxed structure of TiV14W (PBE-GGA, the Alexandria database).

POSCAR file:
```
TiV14W
1.0
-3.604 -3.770 -0.602
4.665 -1.791 -1.610
1.637 -2.823 7.883
V W Ti
14 1 1
direct
0.372 0.628 0.246
0.871 0.621 0.759
0.379 0.129 0.241
0.625 0.875 0.500
0.125 0.875 0.000
0.625 0.875 0.000
0.878 0.122 0.754
0.125 0.375 0.000
0.125 0.375 0.500
0.379 0.129 0.759
0.372 0.628 0.754
0.878 0.122 0.246
0.871 0.621 0.241
0.625 0.375 0.000
0.625 0.375 0.500
0.125 0.875 0.500
```

(15)
# Ti3VW

A relaxed structure of Ti3VW (PBE-GGA, the Alexandria database).

POSCAR file:
```
Ti3VW
1.0
4.439 0.000 0.000
0.000 4.439 0.000
0.000 0.000 4.439
Ti W V
3 1 1
direct
0.500 0.000 0.000
0.000 0.500 0.000
0.000 0.000 0.500
0.500 0.500 0.500
0.000 0.000 0.000
```

Results
energy above the most stable polymorph in this dataset: 0.9493 eV per atom

(16)
# TiVW6

A relaxed structure of TiVW6 (PBE-GGA, the Alexandria database).

POSCAR file:
```
TiVW6
1.0
-1.417 1.967 5.024
-4.286 0.473 -3.540
1.605 -5.328 0.392
W V Ti
6 1 1
direct
0.251 0.746 0.251
0.749 0.749 0.254
0.254 0.749 0.749
0.251 0.251 0.746
0.746 0.251 0.251
0.749 0.254 0.749
0.500 0.500 0.500
0.000 0.000 0.000
```

Results
energy above the most stable polymorph in this dataset: 0.0000 eV per atom

(17)
# TiV5W2

A relaxed structure of TiV5W2 (PBE-GGA, the Alexandria database).

POSCAR file:
```
TiV5W2
1.0
-4.938 1.127 1.654
0.146 0.033 -5.326
1.411 -4.818 1.783
Ti V W
1 5 2
direct
0.778 0.778 0.000
0.278 0.778 0.000
0.778 0.778 0.500
0.278 0.278 0.500
0.778 0.278 0.000
0.278 0.278 0.000
0.778 0.278 0.500
0.278 0.778 0.500
```

(18)
# Ti2V2W3

A relaxed structure of Ti2V2W3 (PBE-GGA, the Alexandria database).

POSCAR file:
```
Ti2V2W3
1.0
3.142 0.000 -0.022
-1.577 4.715 -1.572
0.058 1.127 6.965
V W Ti
2 3 2
direct
0.840 0.680 0.576
0.160 0.320 0.424
0.713 0.427 0.142
0.000 0.000 0.000
0.287 0.573 0.858
0.433 0.866 0.297
0.567 0.134 0.703
```

Results
energy above the most stable polymorph in this dataset: 0.0186 eV per atom

(19)
# TiVW2

A relaxed structure of TiVW2 (PBE-GGA, the Alexandria database).

POSCAR file:
```
TiVW2
1.0
-0.526 3.050 -0.356
0.317 -0.306 -3.084
-6.201 -1.131 -0.525
Ti W V
1 2 1
direct
0.500 0.500 0.500
0.000 0.000 0.239
0.000 0.000 0.761
0.500 0.500 0.000
```

(20)
# TiV6W5

A relaxed structure of TiV6W5 (PBE-GGA, the Alexandria database).

POSCAR file:
```
TiV6W5
1.0
-2.085 2.842 2.566
-2.170 2.917 -4.995
-3.161 -6.777 1.236
W V Ti
5 6 1
direct
0.667 0.667 0.334
0.000 0.500 0.000
0.333 0.333 0.666
0.664 0.164 0.328
0.336 0.836 0.672
0.832 0.084 0.663
0.500 0.746 0.000
0.168 0.916 0.337
0.168 0.421 0.337
0.500 0.254 0.000
0.832 0.579 0.663
0.000 0.000 0.000
```

(21)
# TiV2W8

A relaxed structure of TiV2W8 (PBE-GGA, the Alexandria database).

POSCAR file:
```
TiV2W8
1.0
-3.802 -3.929 -4.099
3.990 -3.432 1.620
-3.050 0.297 4.576
W V Ti
8 2 1
direct
0.307 0.861 0.861
0.118 0.396 0.396
0.693 0.139 0.139
0.292 0.343 0.844
0.292 0.844 0.343
0.882 0.604 0.604
0.708 0.156 0.657
0.708 0.657 0.156
0.435 0.312 0.312
0.565 0.688 0.688
0.000 0.000 0.000
```

(22)
# TiVZnW

A relaxed structure of TiVZnW (PBE-GGA, the Alexandria database).

POSCAR file:
```
TiVZnW
1.0
-1.445 4.110 -0.598
-2.677 0.922 -3.365
-4.221 0.978 0.753
V Zn Ti W
1 1 1 1
direct
0.750 0.750 0.750
0.500 0.500 0.500
0.250 0.250 0.250
0.000 0.000 0.000
```

(23)
# YTiV2

A relaxed structure of YTiV2 (PBE-GGA, the Alexandria database).

POSCAR file:
```
YTiV2
1.0
7.248 0.000 0.000
0.000 7.248 0.000
3.624 3.624 2.845
Y Ti V
2 2 4
direct
0.000 0.000 0.000
0.750 0.250 0.500
0.500 0.500 0.000
0.250 0.750 0.500
0.375 0.401 0.750
0.875 0.849 0.750
0.151 0.625 0.250
0.599 0.125 0.250
```

Results
energy above the most stable polymorph in this dataset: 0.3476 eV per atom

no.,calculated density (kg/m3),energy of formation (eV/atom)
1,11635,-0.0395
2,10044,0.1979
3,12023,0.1800
4,9679,0.0024
5,9323,0.0031
6,13001,-0.0429
7,8300,-0.0215
8,8713,0.5968
9,9678,-0.0397
10,10303,-0.0238
11,14061,0.7816
12,8982,0.2357
13,10024,-0.0234
14,7067,0.0045
15,7183,0.9789
16,15411,0.2243
17,9559,-0.0115
18,11433,-0.0240
19,12617,0.0051
20,11944,-0.0561
21,14108,0.7532
22,9612,0.0031
23,5303,0.7969